#one
# YCd2F (PBE, relaxed)
# Spin magnetization (μB per cell): 0.000
data_YCd2F
_chemical_formula_sum 'Y4 Cd8 F4'
_cell_length_a 7.1530
_cell_length_b 7.1530
_cell_length_c 7.1530
_cell_angle_alpha 90.00
_cell_angle_beta 90.00
_cell_angle_gamma 90.00
_space_group_name_H-M_alt 'F m -3 m'
_space_group_IT_number 225
_space_group_name_Hall '-F 4 2 3'
loop_
_atom_site_label
_atom_site_fract_x
_atom_site_fract_y
_atom_site_fract_z
Y1 0.0000 0.0000 0.0000
Cd1 0.2500 0.2500 0.2500
F1 0.0000 0.0000 0.5000

#two
# YCd2F (PBE, relaxed)
# Spin magnetization (μB per cell): 0.000
data_YCd2F
_chemical_formula_sum 'Y4 Cd8 F4'
_cell_length_a 9.6275
_cell_length_b 9.6275
_cell_length_c 4.4194
_cell_angle_alpha 90.00
_cell_angle_beta 90.00
_cell_angle_gamma 90.00
_space_group_name_H-M_alt 'I -4 2 d'
_space_group_IT_number 122
_space_group_name_Hall 'I -4 2bw'
loop_
_atom_site_label
_atom_site_fract_x
_atom_site_fract_y
_atom_site_fract_z
Y1 0.0000 0.0000 0.0000
Cd1 0.1619 0.7500 0.6250
F1 0.0000 0.0000 0.5000

In terms of stability, #two leads; the second structure lies 545 meV per atom higher.

#one
# YCdF3 (PBE, relaxed)
# Spin magnetization (μB per cell): 0.000
data_YCdF3
_chemical_formula_sum 'Y1 Cd1 F3'
_cell_length_a 4.5136
_cell_length_b 4.5136
_cell_length_c 4.5136
_cell_angle_alpha 90.00
_cell_angle_beta 90.00
_cell_angle_gamma 90.00
_space_group_name_H-M_alt 'P m -3 m'
_space_group_IT_number 221
_space_group_name_Hall '-P 4 2 3'
loop_
_atom_site_label
_atom_site_fract_x
_atom_site_fract_y
_atom_site_fract_z
Y1 0.0000 0.0000 0.0000
Cd1 0.5000 0.5000 0.5000
F1 0.0000 0.0000 0.5000

#two
# YCdF3 (PBE, relaxed)
# Spin magnetization (μB per cell): 1.146
data_YCdF3
_chemical_formula_sum 'Y1 Cd1 F3'
_cell_length_a 4.4954
_cell_length_b 4.4954
_cell_length_c 4.4954
_cell_angle_alpha 90.00
_cell_angle_beta 90.00
_cell_angle_gamma 90.00
_space_group_name_H-M_alt 'P m -3 m'
_space_group_IT_number 221
_space_group_name_Hall '-P 4 2 3'
loop_
_atom_site_label
_atom_site_fract_x
_atom_site_fract_y
_atom_site_fract_z
Y1 0.0000 0.0000 0.0000
Cd1 0.5000 0.5000 0.5000
F1 0.0000 0.5000 0.5000

In terms of stability, #one leads; the second structure lies 1220 meV per atom higher.

#one
# Zn3CdF (PBE, relaxed)
# Spin magnetization (μB per cell): 0.000
data_Zn3CdF
_chemical_formula_sum 'Zn3 Cd1 F1'
_cell_length_a 4.5056
_cell_length_b 4.5056
_cell_length_c 4.5056
_cell_angle_alpha 90.00
_cell_angle_beta 90.00
_cell_angle_gamma 90.00
_space_group_name_H-M_alt 'P m -3 m'
_space_group_IT_number 221
_space_group_name_Hall '-P 4 2 3'
loop_
_atom_site_label
_atom_site_fract_x
_atom_site_fract_y
_atom_site_fract_z
Zn1 0.0000 0.0000 0.5000
Cd1 0.5000 0.5000 0.5000
F1 0.0000 0.0000 0.0000

#two
# Zn3CdF (PBE, relaxed)
# Spin magnetization (μB per cell): 0.000
data_Zn3CdF
_chemical_formula_sum 'Zn3 Cd1 F1'
_cell_length_a 5.0692
_cell_length_b 5.0692
_cell_length_c 5.0692
_cell_angle_alpha 90.00
_cell_angle_beta 90.00
_cell_angle_gamma 90.00
_space_group_name_H-M_alt 'P m -3 m'
_space_group_IT_number 221
_space_group_name_Hall '-P 4 2 3'
loop_
_atom_site_label
_atom_site_fract_x
_atom_site_fract_y
_atom_site_fract_z
Zn1 0.0000 0.0000 0.5000
Cd1 0.0000 0.0000 0.0000
F1 0.5000 0.5000 0.5000

In terms of stability, #one leads; the second structure lies 205 meV per atom higher.

#one
# ZnCdF3 (PBE, relaxed)
# Spin magnetization (μB per cell): 0.000
data_ZnCdF3
_chemical_formula_sum 'Zn1 Cd1 F3'
_cell_length_a 4.1256
_cell_length_b 4.1256
_cell_length_c 4.1256
_cell_angle_alpha 90.00
_cell_angle_beta 90.00
_cell_angle_gamma 90.00
_space_group_name_H-M_alt 'P m -3 m'
_space_group_IT_number 221
_space_group_name_Hall '-P 4 2 3'
loop_
_atom_site_label
_atom_site_fract_x
_atom_site_fract_y
_atom_site_fract_z
Zn1 0.0000 0.0000 0.0000
Cd1 0.5000 0.5000 0.5000
F1 0.0000 0.0000 0.5000

#two
# ZnCdF3 (PBE, relaxed)
# Spin magnetization (μB per cell): 0.769
data_ZnCdF3
_chemical_formula_sum 'Zn1 Cd1 F3'
_cell_length_a 4.4200
_cell_length_b 4.4200
_cell_length_c 4.4200
_cell_angle_alpha 90.00
_cell_angle_beta 90.00
_cell_angle_gamma 90.00
_space_group_name_H-M_alt 'P m -3 m'
_space_group_IT_number 221
_space_group_name_Hall '-P 4 2 3'
loop_
_atom_site_label
_atom_site_fract_x
_atom_site_fract_y
_atom_site_fract_z
Zn1 0.0000 0.0000 0.0000
Cd1 0.5000 0.5000 0.5000
F1 0.0000 0.5000 0.5000

In terms of stability, #one leads; the second structure lies 315 meV per atom higher.

#one
# ZnCdF2 (PBE, relaxed)
# Spin magnetization (μB per cell): 0.000
data_ZnCdF2
_chemical_formula_sum 'Zn4 Cd4 F8'
_cell_length_a 6.1609
_cell_length_b 6.1609
_cell_length_c 6.1609
_cell_angle_alpha 90.00
_cell_angle_beta 90.00
_cell_angle_gamma 90.00
_space_group_name_H-M_alt 'F m -3 m'
_space_group_IT_number 225
_space_group_name_Hall '-F 4 2 3'
loop_
_atom_site_label
_atom_site_fract_x
_atom_site_fract_y
_atom_site_fract_z
Zn1 0.0000 0.0000 0.0000
Cd1 0.0000 0.0000 0.5000
F1 0.2500 0.2500 0.2500

#two
# ZnCdF2 (PBE, relaxed)
# Spin magnetization (μB per cell): 0.000
data_ZnCdF2
_chemical_formula_sum 'Zn3 Cd3 F6'
_cell_length_a 3.0303
_cell_length_b 3.0303
_cell_length_c 22.6351
_cell_angle_alpha 90.00
_cell_angle_beta 90.00
_cell_angle_gamma 120.00
_space_group_name_H-M_alt 'R -3 m'
_space_group_IT_number 166
_space_group_name_Hall '-R 3 2"'
loop_
_atom_site_label
_atom_site_fract_x
_atom_site_fract_y
_atom_site_fract_z
Zn1 0.0000 0.0000 0.0000
Cd1 0.0000 0.0000 0.5000
F1 0.0000 0.0000 0.3813

In terms of stability, #two leads; the second structure lies 488 meV per atom higher.

#one
# ZnCd3F (PBE, relaxed)
# Spin magnetization (μB per cell): 0.000
data_ZnCd3F
_chemical_formula_sum 'Zn1 Cd3 F1'
_cell_length_a 4.8231
_cell_length_b 4.8231
_cell_length_c 4.8231
_cell_angle_alpha 90.00
_cell_angle_beta 90.00
_cell_angle_gamma 90.00
_space_group_name_H-M_alt 'P m -3 m'
_space_group_IT_number 221
_space_group_name_Hall '-P 4 2 3'
loop_
_atom_site_label
_atom_site_fract_x
_atom_site_fract_y
_atom_site_fract_z
Zn1 0.0000 0.0000 0.0000
Cd1 0.0000 0.5000 0.5000
F1 0.5000 0.5000 0.5000

#two
# ZnCd3F (PBE, relaxed)
# Spin magnetization (μB per cell): 0.000
data_ZnCd3F
_chemical_formula_sum 'Zn1 Cd3 F1'
_cell_length_a 5.1052
_cell_length_b 5.1052
_cell_length_c 5.1052
_cell_angle_alpha 90.00
_cell_angle_beta 90.00
_cell_angle_gamma 90.00
_space_group_name_H-M_alt 'P m -3 m'
_space_group_IT_number 221
_space_group_name_Hall '-P 4 2 3'
loop_
_atom_site_label
_atom_site_fract_x
_atom_site_fract_y
_atom_site_fract_z
Zn1 0.0000 0.0000 0.0000
Cd1 0.0000 0.0000 0.5000
F1 0.5000 0.5000 0.5000

In terms of stability, #one leads; the second structure lies 5 meV per atom higher.

#one
# ZrCdF3 (PBE, relaxed)
# Spin magnetization (μB per cell): 1.000
data_ZrCdF3
_chemical_formula_sum 'Zr1 Cd1 F3'
_cell_length_a 4.3959
_cell_length_b 4.3959
_cell_length_c 4.3959
_cell_angle_alpha 90.00
_cell_angle_beta 90.00
_cell_angle_gamma 90.00
_space_group_name_H-M_alt 'P m -3 m'
_space_group_IT_number 221
_space_group_name_Hall '-P 4 2 3'
loop_
_atom_site_label
_atom_site_fract_x
_atom_site_fract_y
_atom_site_fract_z
Zr1 0.0000 0.0000 0.0000
Cd1 0.5000 0.5000 0.5000
F1 0.0000 0.0000 0.5000

#two
# ZrCdF3 (PBE, relaxed)
# Spin magnetization (μB per cell): 2.637
data_ZrCdF3
_chemical_formula_sum 'Zr1 Cd1 F3'
_cell_length_a 4.4454
_cell_length_b 4.4454
_cell_length_c 4.4454
_cell_angle_alpha 90.00
_cell_angle_beta 90.00
_cell_angle_gamma 90.00
_space_group_name_H-M_alt 'P m -3 m'
_space_group_IT_number 221
_space_group_name_Hall '-P 4 2 3'
loop_
_atom_site_label
_atom_site_fract_x
_atom_site_fract_y
_atom_site_fract_z
Zr1 0.0000 0.0000 0.0000
Cd1 0.5000 0.5000 0.5000
F1 0.0000 0.5000 0.5000

In terms of stability, #one leads; the second structure lies 1067 meV per atom higher.

#one
# ZrCd2F8 (PBE, relaxed)
# Spin magnetization (μB per cell): 0.323
data_ZrCd2F8
_chemical_formula_sum 'Zr2 Cd4 F16'
_cell_length_a 11.5129
_cell_length_b 3.7875
_cell_length_c 8.1637
_cell_angle_alpha 90.00
_cell_angle_beta 104.81
_cell_angle_gamma 90.00
_space_group_name_H-M_alt 'C 1 2/m 1'
_space_group_IT_number 12
_space_group_name_Hall '-C 2y'
loop_
_atom_site_label
_atom_site_fract_x
_atom_site_fract_y
_atom_site_fract_z
Zr1 0.0000 0.0000 0.0000
Cd1 0.2387 0.0000 0.6842
F1 0.0522 0.5000 0.1416
F2 0.0888 0.0000 0.8122
F3 0.1695 0.5000 0.5320
F4 0.1855 0.0000 0.1413

#two
# ZrCd2F8 (PBE, relaxed)
# Spin magnetization (μB per cell): 0.340
data_ZrCd2F8
_chemical_formula_sum 'Zr2 Cd4 F16'
_cell_length_a 15.0030
_cell_length_b 3.7214
_cell_length_c 5.1627
_cell_angle_alpha 90.00
_cell_angle_beta 104.58
_cell_angle_gamma 90.00
_space_group_name_H-M_alt 'C 1 2/m 1'
_space_group_IT_number 12
_space_group_name_Hall '-C 2y'
loop_
_atom_site_label
_atom_site_fract_x
_atom_site_fract_y
_atom_site_fract_z
Zr1 0.0000 0.0000 0.0000
Cd1 0.1758 0.5000 0.6710
F1 0.0246 0.5000 0.8016
F2 0.0881 0.0000 0.3825
F3 0.1325 0.0000 0.9234
F4 0.2301 0.5000 0.2917

In terms of stability, #one leads; the second structure lies 37 meV per atom higher.

#one
# Cd3Fe4 (PBE, relaxed)
# Spin magnetization (μB per cell): 19.557
data_Cd3Fe4
_chemical_formula_sum 'Cd6 Fe8'
_cell_length_a 3.0555
_cell_length_b 3.0555
_cell_length_c 23.5062
_cell_angle_alpha 90.00
_cell_angle_beta 90.00
_cell_angle_gamma 90.00
_space_group_name_H-M_alt 'I 4/m m m'
_space_group_IT_number 139
_space_group_name_Hall '-I 4 2'
loop_
_atom_site_label
_atom_site_fract_x
_atom_site_fract_y
_atom_site_fract_z
Cd1 0.0000 0.0000 0.0000
Cd2 0.0000 0.0000 0.2977
Fe1 0.0000 0.0000 0.1238
Fe2 0.0000 0.0000 0.4223

#two
# Cd3Fe4 (PBE, relaxed)
# Spin magnetization (μB per cell): 11.320
data_Cd3Fe4
_chemical_formula_sum 'Cd3 Fe4'
_cell_length_a 5.3373
_cell_length_b 5.3373
_cell_length_c 4.7638
_cell_angle_alpha 90.00
_cell_angle_beta 90.00
_cell_angle_gamma 120.00
_space_group_name_H-M_alt 'P 6/m m m'
_space_group_IT_number 191
_space_group_name_Hall '-P 6 2'
loop_
_atom_site_label
_atom_site_fract_x
_atom_site_fract_y
_atom_site_fract_z
Cd1 0.0000 0.5000 0.0000
Fe1 0.0000 0.0000 0.2656
Fe2 0.3333 0.6667 0.5000

In terms of stability, #one leads; the second structure lies 441 meV per atom higher.

#one
# Cd4Fe5 (PBE, relaxed)
# Spin magnetization (μB per cell): 24.333
data_Cd4Fe5
_chemical_formula_sum 'Cd8 Fe10'
_cell_length_a 8.3525
_cell_length_b 8.3525
_cell_length_c 4.0713
_cell_angle_alpha 90.00
_cell_angle_beta 90.00
_cell_angle_gamma 90.00
_space_group_name_H-M_alt 'I 4/m m m'
_space_group_IT_number 139
_space_group_name_Hall '-I 4 2'
loop_
_atom_site_label
_atom_site_fract_x
_atom_site_fract_y
_atom_site_fract_z
Cd1 0.0000 0.3191 0.0000
Fe1 0.0000 0.0000 0.0000
Fe2 0.1458 0.1458 0.5000

#two
# Cd4Fe5 (PBE, relaxed)
# Spin magnetization (μB per cell): 27.297
data_Cd4Fe5
_chemical_formula_sum 'Cd8 Fe10'
_cell_length_a 7.8358
_cell_length_b 7.8358
_cell_length_c 5.4310
_cell_angle_alpha 90.00
_cell_angle_beta 90.00
_cell_angle_gamma 120.00
_space_group_name_H-M_alt 'P 63/m c m'
_space_group_IT_number 193
_space_group_name_Hall '-P 6c 2'
loop_
_atom_site_label
_atom_site_fract_x
_atom_site_fract_y
_atom_site_fract_z
Cd1 0.0000 0.0000 0.0000
Cd2 0.0000 0.3326 0.2500
Fe1 0.0000 0.3482 0.7500
Fe2 0.3333 0.6667 0.0000

In terms of stability, #one leads; the second structure lies 166 meV per atom higher.

#one
# CdFe4 (PBE, relaxed)
# Spin magnetization (μB per cell): 8.481
data_CdFe4
_chemical_formula_sum 'Cd2 Fe8'
_cell_length_a 3.7655
_cell_length_b 3.7655
_cell_length_c 9.5199
_cell_angle_alpha 90.00
_cell_angle_beta 90.00
_cell_angle_gamma 90.00
_space_group_name_H-M_alt 'I 4/m m m'
_space_group_IT_number 139
_space_group_name_Hall '-I 4 2'
loop_
_atom_site_label
_atom_site_fract_x
_atom_site_fract_y
_atom_site_fract_z
Cd1 0.0000 0.0000 0.0000
Fe1 0.0000 0.0000 0.3901
Fe2 0.0000 0.5000 0.2500

#two
# CdFe4 (PBE, relaxed)
# Spin magnetization (μB per cell): 19.557
data_CdFe4
_chemical_formula_sum 'Cd2 Fe8'
_cell_length_a 6.7811
_cell_length_b 6.7811
_cell_length_c 2.9023
_cell_angle_alpha 90.00
_cell_angle_beta 90.00
_cell_angle_gamma 90.00
_space_group_name_H-M_alt 'I 4/m'
_space_group_IT_number 87
_space_group_name_Hall '-I 4'
loop_
_atom_site_label
_atom_site_fract_x
_atom_site_fract_y
_atom_site_fract_z
Cd1 0.0000 0.0000 0.0000
Fe1 0.1133 0.6755 0.5000

#three
# CdFe4 (PBE, relaxed)
# Spin magnetization (μB per cell): 11.657
data_CdFe4
_chemical_formula_sum 'Cd1 Fe4'
_cell_length_a 4.6908
_cell_length_b 4.6908
_cell_length_c 4.6908
_cell_angle_alpha 90.00
_cell_angle_beta 90.00
_cell_angle_gamma 90.00
_space_group_name_H-M_alt 'P m -3 m'
_space_group_IT_number 221
_space_group_name_Hall '-P 4 2 3'
loop_
_atom_site_label
_atom_site_fract_x
_atom_site_fract_y
_atom_site_fract_z
Cd1 0.0000 0.0000 0.0000
Fe1 0.0000 0.0000 0.5000
Fe2 0.5000 0.5000 0.5000

In terms of stability, #two leads; the second structure lies 232 meV per atom higher.

#one
# Cd2GaFe (PBE, relaxed)
# Spin magnetization (μB per cell): 10.448
data_Cd2GaFe
_chemical_formula_sum 'Cd8 Ga4 Fe4'
_cell_length_a 7.6543
_cell_length_b 7.6543
_cell_length_c 5.4420
_cell_angle_alpha 90.00
_cell_angle_beta 90.00
_cell_angle_gamma 90.00
_space_group_name_H-M_alt 'I -4 2 d'
_space_group_IT_number 122
_space_group_name_Hall 'I -4 2bw'
loop_
_atom_site_label
_atom_site_fract_x
_atom_site_fract_y
_atom_site_fract_z
Cd1 0.2390 0.2500 0.1250
Ga1 0.0000 0.0000 0.5000
Fe1 0.0000 0.0000 0.0000

#two
# Cd2GaFe (PBE, relaxed)
# Spin magnetization (μB per cell): 9.082
data_Cd2GaFe
_chemical_formula_sum 'Cd6 Ga3 Fe3'
_cell_length_a 2.9170
_cell_length_b 2.9170
_cell_length_c 31.7028
_cell_angle_alpha 90.00
_cell_angle_beta 90.00
_cell_angle_gamma 120.00
_space_group_name_H-M_alt 'R -3 m'
_space_group_IT_number 166
_space_group_name_Hall '-R 3 2"'
loop_
_atom_site_label
_atom_site_fract_x
_atom_site_fract_y
_atom_site_fract_z
Cd1 0.0000 0.0000 0.0848
Ga1 0.0000 0.0000 0.5000
Fe1 0.0000 0.0000 0.0000

In terms of stability, #two leads; the second structure lies 23 meV per atom higher.